A plane-wave DFT calculation with PBE was carried out for a relaxed Nb3CuIr crystal.

Cell lengths 4.5754, 4.5754, 4.5754 Å; angles 90.00, 90.00, 90.00 degrees
Element x y z (fractional)
Nb (0.0000, 0.0000, 0.5000)
Nb (0.0000, 0.5000, 0.0000)
Nb (0.5000, 0.0000, 0.0000)
Cu (0.0000, 0.0000, 0.0000)
Ir (0.5000, 0.5000, 0.5000)

Summary:
- total energy (eV/cell) = -37.30
- space-group type = Pm-3m
- magnetization (μB per cell) = 0.000
- crystal system = cubic
- DOS at the Fermi energy (states/eV/f.u.) = 5.9